(1)
This record from Alexandria via LeMat-Bulk describes a PBEsol-optimized structure of ReHgP2. The functional is SCAN.

The structure belongs to space group R-3m (No. 166, hexagonal axes); the cell edges are 2.9858, 2.9858 and 28.1883 Å and the angles 90.00°, 90.00° and 120.00°. The distinct sites, in fractional coordinates, are Re at (0.0000, 0.0000, 0.0000), Hg at (0.0000, 0.0000, 0.5000) and P at (0.0000, 0.0000, 0.2727).

The calculation puts the density of states at the Fermi level at 3.58 states/eV per cell. For the final energy, the calculation gives -39.95 eV per atom. The total moment is 0.000 μB per atom. The formation energy comes out at 0.06 eV per atom.

(2)
This record from Alexandria via LeMat-Bulk describes a PBEsol-optimized structure of Re2HgP. The functional is SCAN.

The structure belongs to space group R3m (No. 160, hexagonal axes); the cell edges are 2.8808, 2.8808 and 26.6275 Å and the angles 90.00°, 90.00° and 120.00°. The distinct sites, in fractional coordinates, are Re at (0.0000, 0.0000, 0.0000), Re at (0.0000, 0.0000, 0.2551), Hg at (0.0000, 0.0000, 0.4962) and P at (0.0000, 0.0000, 0.7327).

The calculation puts the density of states at the Fermi level at 4.93 states/eV per cell. For the final energy, the calculation gives -54.88 eV per atom. The total moment is 0.000 μB per atom. The formation energy comes out at 0.31 eV per atom.

(3)
This record from Alexandria via LeMat-Bulk describes a PBEsol-optimized structure of Re2HgP. The functional is SCAN.

The structure belongs to space group R-3m (No. 166, hexagonal axes); the cell edges are 2.8494, 2.8494 and 25.7988 Å and the angles 90.00°, 90.00° and 120.00°. The distinct sites, in fractional coordinates, are Re at (0.0000, 0.0000, 0.2366), Hg at (0.0000, 0.0000, 0.0000) and P at (0.0000, 0.0000, 0.5000).

The calculation puts the density of states at the Fermi level at 9.00 states/eV per cell. For the final energy, the calculation gives -54.79 eV per atom. The total moment is 0.000 μB per atom. The formation energy comes out at 0.40 eV per atom.

(4)
This record from Alexandria via LeMat-Bulk describes a PBEsol-optimized structure of ReHgP2. The functional is SCAN.

The structure belongs to space group Cmmm (No. 65); the cell edges are 5.7887, 6.7543 and 3.1263 Å and the angles 90.00°, 90.00° and 90.00°. The distinct sites, in fractional coordinates, are Re at (0.0000, 0.0000, 0.0000), Hg at (0.0000, 0.5000, 0.0000) and P at (0.2500, 0.2500, 0.5000).

The calculation puts the density of states at the Fermi level at 5.30 states/eV per cell. For the final energy, the calculation gives -39.01 eV per atom. The total moment is 0.000 μB per atom. The formation energy comes out at 1.00 eV per atom.